GdPaPb2 | PBE-GGA | relaxed

Lattice parameters (Å, degrees): 5.063 5.063 4.399 90.00 90.00 90.00
Fractional positions:
1 Gd 0.000 0.000 0.000
2 Pa 0.500 0.500 0.000
3 Pb 0.000 0.500 0.500
4 Pb 0.500 0.000 0.500

Output
calculated formation energy: -15 kJ/mol of atoms
space group: No. 123
uncorrected energy: -7.90 eV/atom

GdPuPaPb | PBE-GGA | relaxed

Lattice parameters (Å, degrees): 5.336 5.336 5.336 60.00 60.00 60.00
Fractional positions:
1 Gd 0.000 0.000 0.000
2 Pu 0.500 0.500 0.500
3 Pa 0.750 0.750 0.750
4 Pb 0.250 0.250 0.250

Output
calculated formation energy: 13 kJ/mol of atoms
space group: No. 216
uncorrected energy: -10.27 eV/atom

GdPaSnPb | PBE-GGA | relaxed

Lattice parameters (Å, degrees): 5.393 5.393 5.393 60.00 60.00 60.00
Fractional positions:
1 Gd 0.000 0.000 0.000
2 Pa 0.500 0.500 0.500
3 Sn 0.750 0.750 0.750
4 Pb 0.250 0.250 0.250

Output
calculated formation energy: -19 kJ/mol of atoms
space group: No. 216
uncorrected energy: -8.02 eV/atom

Number 1: M_tot 9.1 μB/cell. Number 2: M_tot 14.5 μB/cell. Number 3: M_tot 9.4 μB/cell.